Entry 1:
AuS4Cl: optimized geometry, PBE-GGA.

Summary:
Formation energy without anion corrections in kcal/mol of atoms: 0.9
Space-group type: No. 15
Calculated volume in Å³ per cell: 308.8
Energy in Ha/atom: -0.13113

```
12
Lattice="-0.3914 4.8564 -2.8039 -3.8452 2.2284 2.6244 5.2561 5.5775 8.0405" Properties=species:S:1:pos:R:3 pbc="T T T"
S 0.1846 9.6815 5.3842
S -0.4524 4.4259 2.8915
S 3.4019 9.7808 6.4050
S 1.9947 10.4625 7.4542
S 1.4718 8.2364 4.9695
S -2.3825 2.8816 1.4560
S -0.9753 2.1999 0.4068
S 0.8348 2.9809 2.4768
Cl 2.9677 5.4297 5.2864
Cl -1.9483 7.2327 2.5746
Au 1.0311 6.5352 6.5855
Au -0.0117 6.1272 1.2755
```

Entry 2:
AuSCl5: optimized geometry, PBE-GGA.

Summary:
Formation energy without anion corrections in kcal/mol of atoms: -5.7
Space-group type: No. 14
Calculated volume in Å³ per cell: 876.2
Energy in Ha/atom: -0.09639

```
28
Lattice="-6.7678 2.6295 4.4873 -4.6794 -5.5028 -3.8329 -0.6601 -12.3091 6.2174" Properties=species:S:1:pos:R:3 pbc="T T T"
Au -2.8654 -3.8621 3.3024
Au -9.9973 -4.7440 1.1805
Au -9.2419 -11.3203 3.5695
Au -2.1100 -10.4383 5.6914
Cl -6.5585 -1.1996 5.1618
Cl -5.0279 -4.2899 -2.4002
Cl -5.0761 -8.0583 7.0688
Cl -4.0633 -13.1327 4.3036
Cl -7.0794 -10.8925 9.2721
Cl -1.7050 -6.8207 2.1045
Cl -8.0440 -2.0496 2.5683
Cl -3.8299 -3.3655 1.2742
Cl -4.8359 -6.5498 1.9260
Cl -10.4023 -8.3617 4.7674
Cl -8.2774 -11.8169 5.5977
Cl -7.2713 -8.6326 4.9459
Cl -5.5907 -5.1882 5.3951
Cl -6.5166 -9.9942 1.4767
Cl -8.7972 -5.3322 3.0525
Cl -7.2545 -3.3019 -0.2096
Cl -7.0311 -7.1241 -0.1970
Cl -3.3100 -9.8502 3.8194
Cl -4.8528 -11.8805 7.0815
Cl -5.5487 -13.9828 1.7100
S -3.2457 -12.5040 6.0303
S -8.8076 -8.9821 3.6957
S -8.8616 -2.6784 0.8415
S -3.2996 -6.2002 3.1762
```

Entry 3:
AuS2Cl8: optimized geometry, PBE-GGA.

Summary:
Formation energy without anion corrections in kcal/mol of atoms: -3.9
Space-group type: No. 12
Calculated volume in Å³ per cell: 371.1
Energy in Ha/atom: -0.09403

```
11
Lattice="-1.0447 -6.0127 2.5765 6.8282 -2.5278 -3.8096 7.5107 0.4043 3.3095" Properties=species:S:1:pos:R:3 pbc="T T T"
S 3.1870 -4.7377 1.6457
S 10.1072 -3.3985 0.4307
Cl 7.8563 -5.7154 4.0321
Cl 5.8334 -0.7219 2.1695
Cl 5.1781 -4.7942 1.4781
Cl 5.4379 -2.4208 -1.9557
Cl 10.6194 -5.2049 1.1256
Cl 8.1161 -3.3420 0.5983
Cl 7.4608 -7.4143 -0.0930
Cl 2.6748 -2.9313 0.9508
Au 0.0000 0.0000 0.0000
```

Entry 4:
AuSCl2: optimized geometry, PBE-GGA.

Summary:
Formation energy without anion corrections in kcal/mol of atoms: 8.7
E above lowest polymorph in eV/atom: 0.000
Space-group type: No. 166
Calculated volume in Å³ per cell: 89.2
Energy in Ha/atom: -0.08802

```
4
Lattice="2.9060 -9.9653 3.7750 5.4707 -8.4530 4.5409 3.0528 -8.4389 6.4396" Properties=species:S:1:pos:R:3 pbc="T T T"
Au 5.7148 -13.4286 7.3777
Cl 0.7501 -1.7626 0.9684
Cl 10.6794 -25.0946 13.7871
S 0.0000 0.0000 0.0000
```

Entry 5:
AuSCl2: optimized geometry, PBE-GGA.

Summary:
Formation energy without anion corrections in kcal/mol of atoms: 18.3
E above lowest polymorph in eV/atom: 0.415
Space-group type: No. 225
Calculated volume in Å³ per cell: 82.0
Energy in Ha/atom: -0.07276

```
4
Lattice="2.9270 -3.6263 -1.4361 -1.8055 -4.4855 -0.6328 -0.4279 -1.8445 -4.4939" Properties=species:S:1:pos:R:3 pbc="T T T"
S 0.0000 0.0000 0.0000
Cl 0.5202 -7.4672 -4.9221
Cl 0.1734 -2.4891 -1.6407
Au 0.3468 -4.9782 -3.2814
```

Entry 6:
AuS2Cl: optimized geometry, PBE-GGA.

Summary:
Formation energy without anion corrections in kcal/mol of atoms: 4.2
Space-group type: No. 166
Calculated volume in Å³ per cell: 93.0
Energy in Ha/atom: -0.11619

```
4
Lattice="2.2269 0.0000 7.2186 -1.1134 1.9285 7.2186 -1.1134 -1.9285 7.2186" Properties=species:S:1:pos:R:3 pbc="T T T"
S 0.0000 0.0000 19.2855
S 0.0000 0.0000 2.3703
Cl 0.0000 0.0000 0.0000
Au 0.0000 0.0000 10.8279
```